1.
# Tb8ErTm2 | the Alexandria database | PBE | optimized geometry
# Density of states at the Fermi level, states/eV/atom: 1.3990
# ΔH_f (0 K), eV per atom: 0.155
# Density, g/cm3: 8.42
# V, Å³/atom: 31.9
# Polymorph energy (0 for the lowest one), eV per atom: 0.074
# Symmetry: No. 12
data_Tb8ErTm2
_chemical_formula_sum 'Tb8 Er1 Tm2'
_symmetry_space_group_name_H-M 'P 1'
_symmetry_Int_Tables_number 1
_symmetry_space_group_name_Hall 'P 1'
_cell_length_a 9.2840
_cell_length_b 9.2840
_cell_length_c 5.8551
_cell_angle_alpha 106.05
_cell_angle_beta 106.05
_cell_angle_gamma 122.19
loop_
_atom_site_label
_atom_site_type_symbol
_atom_site_fract_x
_atom_site_fract_y
_atom_site_fract_z
Tb1 Tb 0.0976 0.3384 0.6860
Tb2 Tb 0.2050 0.7950 0.0000
Tb3 Tb 0.3384 0.0976 0.6860
Tb4 Tb 0.4329 0.4329 0.2069
Tb5 Tb 0.5671 0.5671 0.7931
Tb6 Tb 0.6616 0.9024 0.3140
Tb7 Tb 0.7950 0.2050 0.0000
Tb8 Tb 0.9024 0.6616 0.3140
Er1 Er 0.0000 0.0000 0.0000
Tm1 Tm 0.3103 0.6897 0.5000
Tm2 Tm 0.6897 0.3103 0.5000

2.
# Tb4ErTm | the Alexandria database | PBE | optimized geometry
# Density of states at the Fermi level, states/eV/atom: 1.7757
# ΔH_f (0 K), eV per atom: 0.070
# Density, g/cm3: 8.52
# V, Å³/atom: 31.6
# Polymorph energy (0 for the lowest one), eV per atom: 0.061
# Symmetry: No. 74
data_Tb4ErTm
_chemical_formula_sum 'Tb8 Er2 Tm2'
_symmetry_space_group_name_H-M 'P 1'
_symmetry_Int_Tables_number 1
_symmetry_space_group_name_Hall 'P 1'
_cell_length_a 11.7812
_cell_length_b 11.7812
_cell_length_c 11.7812
_cell_angle_alpha 152.22
_cell_angle_beta 41.26
_cell_angle_gamma 150.12
loop_
_atom_site_label
_atom_site_type_symbol
_atom_site_fract_x
_atom_site_fract_y
_atom_site_fract_z
Tb1 Tb 0.0940 0.4255 0.6685
Tb2 Tb 0.1486 0.0608 0.0878
Tb3 Tb 0.2570 0.4255 0.8315
Tb4 Tb 0.4730 0.0608 0.4122
Tb5 Tb 0.5270 0.9392 0.5878
Tb6 Tb 0.7430 0.5745 0.1685
Tb7 Tb 0.8514 0.9392 0.9122
Tb8 Tb 0.9060 0.5745 0.3315
Er1 Er 0.0000 0.5000 0.5000
Er2 Er 0.5000 0.5000 0.0000
Tm1 Tm 0.3288 0.0788 0.2500
Tm2 Tm 0.6712 0.9212 0.7500

3.
# Tb2Er5Tm6 | the Alexandria database | PBE | optimized geometry
# Density of states at the Fermi level, states/eV/atom: 1.2240
# ΔH_f (0 K), eV per atom: 0.101
# Density, g/cm3: 8.95
# V, Å³/atom: 30.9
# Symmetry: No. 55
data_Tb2Er5Tm6
_chemical_formula_sum 'Tb4 Er10 Tm12'
_symmetry_space_group_name_H-M 'P 1'
_symmetry_Int_Tables_number 1
_symmetry_space_group_name_Hall 'P 1'
_cell_length_a 11.4712
_cell_length_b 19.8930
_cell_length_c 3.5237
_cell_angle_alpha 90.00
_cell_angle_beta 90.00
_cell_angle_gamma 90.00
loop_
_atom_site_label
_atom_site_type_symbol
_atom_site_fract_x
_atom_site_fract_y
_atom_site_fract_z
Tb1 Tb 0.1666 0.2106 0.0000
Tb2 Tb 0.3334 0.7106 0.0000
Tb3 Tb 0.6666 0.2894 0.0000
Tb4 Tb 0.8334 0.7894 0.0000
Er1 Er 0.0000 0.5000 0.5000
Er2 Er 0.0902 0.7734 0.5000
Er3 Er 0.1985 0.0491 0.5000
Er4 Er 0.3015 0.5491 0.5000
Er5 Er 0.4098 0.2734 0.5000
Er6 Er 0.5000 0.0000 0.5000
Er7 Er 0.5902 0.7266 0.5000
Er8 Er 0.6985 0.4509 0.5000
Er9 Er 0.8015 0.9509 0.5000
Er10 Er 0.9098 0.2266 0.5000
Tm1 Tm 0.0588 0.9192 0.0000
Tm2 Tm 0.0831 0.6311 0.0000
Tm3 Tm 0.1738 0.3664 0.5000
Tm4 Tm 0.3262 0.8664 0.5000
Tm5 Tm 0.4169 0.1311 0.0000
Tm6 Tm 0.4412 0.4192 0.0000
Tm7 Tm 0.5588 0.5808 0.0000
Tm8 Tm 0.5831 0.8689 0.0000
Tm9 Tm 0.6738 0.1336 0.5000
Tm10 Tm 0.8262 0.6336 0.5000
Tm11 Tm 0.9169 0.3689 0.0000
Tm12 Tm 0.9412 0.0808 0.0000

4.
# Tb4Er5Tm3 | the Alexandria database | PBE | optimized geometry
# Density of states at the Fermi level, states/eV/atom: 1.6328
# ΔH_f (0 K), eV per atom: 0.246
# Density, g/cm3: 8.67
# V, Å³/atom: 31.6
# Polymorph energy (0 for the lowest one), eV per atom: 0.225
# Symmetry: No. 12
data_Tb4Er5Tm3
_chemical_formula_sum 'Tb4 Er5 Tm3'
_symmetry_space_group_name_H-M 'P 1'
_symmetry_Int_Tables_number 1
_symmetry_space_group_name_Hall 'P 1'
_cell_length_a 8.4498
_cell_length_b 8.4498
_cell_length_c 9.1851
_cell_angle_alpha 114.82
_cell_angle_beta 114.82
_cell_angle_gamma 40.24
loop_
_atom_site_label
_atom_site_type_symbol
_atom_site_fract_x
_atom_site_fract_y
_atom_site_fract_z
Tb1 Tb 0.0816 0.0816 0.4417
Tb2 Tb 0.2146 0.2146 0.8796
Tb3 Tb 0.7854 0.7854 0.1204
Tb4 Tb 0.9184 0.9184 0.5583
Er1 Er 0.0000 0.0000 0.0000
Er2 Er 0.3276 0.3276 0.6157
Er3 Er 0.4277 0.4277 0.2977
Er4 Er 0.5723 0.5723 0.7023
Er5 Er 0.6724 0.6724 0.3843
Tm1 Tm 0.2109 0.2109 0.2343
Tm2 Tm 0.5000 0.5000 0.0000
Tm3 Tm 0.7891 0.7891 0.7657

5.
# TbErTm | the Alexandria database | PBE | optimized geometry
# Density of states at the Fermi level, states/eV/atom: 1.7131
# ΔH_f (0 K), eV per atom: 0.077
# Density, g/cm3: 8.98
# V, Å³/atom: 30.5
# Polymorph energy (0 for the lowest one), eV per atom: 0.056
# Symmetry: No. 187
data_TbErTm
_chemical_formula_sum 'Tb1 Er1 Tm1'
_symmetry_space_group_name_H-M 'P 1'
_symmetry_Int_Tables_number 1
_symmetry_space_group_name_Hall 'P 1'
_cell_length_a 5.5608
_cell_length_b 5.5608
_cell_length_c 3.4194
_cell_angle_alpha 90.00
_cell_angle_beta 90.00
_cell_angle_gamma 120.00
loop_
_atom_site_label
_atom_site_type_symbol
_atom_site_fract_x
_atom_site_fract_y
_atom_site_fract_z
Tb1 Tb 0.0000 0.0000 0.0000
Er1 Er 0.6667 0.3333 0.5000
Tm1 Tm 0.3333 0.6667 0.5000

6.
# Tb5Er3Tm | the Alexandria database | PBE | optimized geometry
# Density of states at the Fermi level, states/eV/atom: 1.3827
# ΔH_f (0 K), eV per atom: 0.521
# Density, g/cm3: 7.57
# V, Å³/atom: 35.7
# Polymorph energy (0 for the lowest one), eV per atom: 0.411
# Symmetry: No. 12
data_Tb5Er3Tm
_chemical_formula_sum 'Tb10 Er6 Tm2'
_symmetry_space_group_name_H-M 'P 1'
_symmetry_Int_Tables_number 1
_symmetry_space_group_name_Hall 'P 1'
_cell_length_a 9.4240
_cell_length_b 9.4240
_cell_length_c 9.7865
_cell_angle_alpha 120.71
_cell_angle_beta 120.71
_cell_angle_gamma 74.43
loop_
_atom_site_label
_atom_site_type_symbol
_atom_site_fract_x
_atom_site_fract_y
_atom_site_fract_z
Tb1 Tb 0.0988 0.6031 0.2544
Tb2 Tb 0.2249 0.2249 0.2362
Tb3 Tb 0.2435 0.7565 0.0000
Tb4 Tb 0.2779 0.2779 0.9605
Tb5 Tb 0.3969 0.9012 0.7456
Tb6 Tb 0.6031 0.0988 0.2544
Tb7 Tb 0.7221 0.7221 0.0395
Tb8 Tb 0.7565 0.2435 0.0000
Tb9 Tb 0.7751 0.7751 0.7638
Tb10 Tb 0.9012 0.3969 0.7456
Er1 Er 0.0000 0.0000 0.5000
Er2 Er 0.0102 0.0102 0.8211
Er3 Er 0.4814 0.4814 0.6414
Er4 Er 0.5000 0.5000 0.0000
Er5 Er 0.5186 0.5186 0.3586
Er6 Er 0.9898 0.9898 0.1789
Tm1 Tm 0.2473 0.2473 0.5985
Tm2 Tm 0.7527 0.7527 0.4015

7.
# TbEr6Tm4 | the Alexandria database | PBE | optimized geometry
# Density of states at the Fermi level, states/eV/atom: 1.7176
# ΔH_f (0 K), eV per atom: 0.128
# Density, g/cm3: 9.07
# V, Å³/atom: 30.6
# Polymorph energy (0 for the lowest one), eV per atom: 0.000
# Symmetry: No. 63
data_TbEr6Tm4
_chemical_formula_sum 'Tb2 Er12 Tm8'
_symmetry_space_group_name_H-M 'P 1'
_symmetry_Int_Tables_number 1
_symmetry_space_group_name_Hall 'P 1'
_cell_length_a 5.5302
_cell_length_b 5.5302
_cell_length_c 25.3339
_cell_angle_alpha 90.00
_cell_angle_beta 90.00
_cell_angle_gamma 119.66
loop_
_atom_site_label
_atom_site_type_symbol
_atom_site_fract_x
_atom_site_fract_y
_atom_site_fract_z
Tb1 Tb 0.1718 0.8282 0.7500
Tb2 Tb 0.8282 0.1718 0.2500
Er1 Er 0.1609 0.8391 0.1812
Er2 Er 0.1609 0.8391 0.3188
Er3 Er 0.1721 0.8279 0.6026
Er4 Er 0.1721 0.8279 0.8974
Er5 Er 0.4944 0.5056 0.2500
Er6 Er 0.5000 0.5000 0.0000
Er7 Er 0.5000 0.5000 0.5000
Er8 Er 0.5056 0.4944 0.7500
Er9 Er 0.8279 0.1721 0.1026
Er10 Er 0.8279 0.1721 0.3974
Er11 Er 0.8391 0.1609 0.6812
Er12 Er 0.8391 0.1609 0.8188
Tm1 Tm 0.1646 0.8354 0.0419
Tm2 Tm 0.1646 0.8354 0.4581
Tm3 Tm 0.4934 0.5066 0.1214
Tm4 Tm 0.4934 0.5066 0.3786
Tm5 Tm 0.5066 0.4934 0.6214
Tm6 Tm 0.5066 0.4934 0.8786
Tm7 Tm 0.8354 0.1646 0.5419
Tm8 Tm 0.8354 0.1646 0.9581

8.
# Tb3Er3Tm4 | the Alexandria database | PBE | optimized geometry
# Density of states at the Fermi level, states/eV/atom: 0.7568
# ΔH_f (0 K), eV per atom: 0.093
# Density, g/cm3: 8.86
# V, Å³/atom: 31.0
# Symmetry: No. 38
data_Tb3Er3Tm4
_chemical_formula_sum 'Tb3 Er3 Tm4'
_symmetry_space_group_name_H-M 'P 1'
_symmetry_Int_Tables_number 1
_symmetry_space_group_name_Hall 'P 1'
_cell_length_a 3.6275
_cell_length_b 9.2444
_cell_length_c 9.2444
_cell_angle_alpha 89.94
_cell_angle_beta 90.00
_cell_angle_gamma 90.00
loop_
_atom_site_label
_atom_site_type_symbol
_atom_site_fract_x
_atom_site_fract_y
_atom_site_fract_z
Tb1 Tb 0.0000 0.0000 0.0000
Tb2 Tb 0.0000 0.4994 0.8455
Tb3 Tb 0.0000 0.8455 0.4994
Er1 Er 0.0000 0.3460 0.3460
Er2 Er 0.5000 0.1734 0.6707
Er3 Er 0.5000 0.6707 0.1734
Tm1 Tm 0.5000 0.0486 0.2988
Tm2 Tm 0.5000 0.2988 0.0486
Tm3 Tm 0.5000 0.5471 0.5471
Tm4 Tm 0.5000 0.7980 0.7980

9.
# Tb6Er3Tm2 | the Alexandria database | PBE | optimized geometry
# Density of states at the Fermi level, states/eV/atom: 1.4858
# ΔH_f (0 K), eV per atom: 0.298
# Density, g/cm3: 8.23
# V, Å³/atom: 32.9
# Polymorph energy (0 for the lowest one), eV per atom: 0.278
# Symmetry: No. 139
data_Tb6Er3Tm2
_chemical_formula_sum 'Tb6 Er3 Tm2'
_symmetry_space_group_name_H-M 'P 1'
_symmetry_Int_Tables_number 1
_symmetry_space_group_name_Hall 'P 1'
_cell_length_a 16.7980
_cell_length_b 16.7980
_cell_length_c 16.7980
_cell_angle_alpha 163.96
_cell_angle_beta 163.96
_cell_angle_gamma 22.76
loop_
_atom_site_label
_atom_site_type_symbol
_atom_site_fract_x
_atom_site_fract_y
_atom_site_fract_z
Tb1 Tb 0.1206 0.6206 0.5000
Tb2 Tb 0.1973 0.1973 0.0000
Tb3 Tb 0.3794 0.8794 0.5000
Tb4 Tb 0.6206 0.1206 0.5000
Tb5 Tb 0.8027 0.8027 0.0000
Tb6 Tb 0.8794 0.3794 0.5000
Er1 Er 0.3010 0.3010 0.0000
Er2 Er 0.5000 0.5000 0.0000
Er3 Er 0.6990 0.6990 0.0000
Tm1 Tm 0.0458 0.0458 0.0000
Tm2 Tm 0.9542 0.9542 0.0000

| no. | size of the total moment (μB/cell) |
| --- | --- |
| 1 | 0.00 |
| 2 | 0.00 |
| 3 | 0.01 |
| 4 | 0.60 |
| 5 | 0.00 |
| 6 | 0.00 |
| 7 | 0.00 |
| 8 | 0.00 |
| 9 | 0.00 |